Computed, not measured: a relaxed CaTe2Ru crystal at the PBEsol level of DFT.

Output
- total magnetization (Bohr magnetons per cell) = 0.0
- ΔE to the lowest computed polymorph (meV per atom) = 93
- raw formation energy (eV/f.u.) = -1.0
- DOS(E_F) (states/eV per cell) = 3.14

abc: 3.3940 4.9945 4.9945
angles: 90.00 90.00 90.00
With the nearest neighbours (Å) after each atom.
Fractional positions:
Ru  0.5000  0.5000  0.5000  8 Te 3.02
Ca  0.5000  0.0000  0.0000  8 Te 3.02
Te  0.0000  0.0000  0.5000  4 Ru 3.02, 4 Ca 3.02
Te  0.0000  0.5000  0.0000  4 Ca 3.02, 4 Ru 3.02



Computed, not measured: a relaxed TcP2Pd crystal at the PBEsol level of DFT.

Output
- ΔE_f (eV per atom) = -0.123
- total magnetization (Bohr magnetons per cell) = 0.0
- DOS(E_F) (states/eV per cell) = 4.23

abc: 5.2689 5.2689 6.4313
angles: 114.18 114.18 90.00
With the nearest neighbours (Å) after each atom.
Fractional positions:
P  0.3861  0.8750  0.2500  2 Tc 2.24, 2 Pd 2.31
P  0.8639  0.3750  0.2500  2 Tc 2.24, 2 Pd 2.31
P  0.1250  0.1361  0.7500  2 Tc 2.24, 2 Pd 2.31
P  0.6250  0.6139  0.7500  2 Tc 2.24, 2 Pd 2.31
Tc  0.7500  0.2500  0.5000  4 P 2.24
Tc  0.5000  0.5000  0.0000  4 P 2.24
Pd  0.2500  0.7500  0.5000  4 P 2.31
Pd  0.0000  0.0000  0.0000  4 P 2.31



> Number 2 is which compound?

TcP2Pd



> Number 2 is which compound?

TcP2Pd



> What is the formula in the first record?

CaTe2Ru



Please write out number 2 again, unchanged.
Computed, not measured: a relaxed TcP2Pd crystal at the PBEsol level of DFT.

Output
- ΔE_f (eV per atom) = -0.123
- total magnetization (Bohr magnetons per cell) = 0.0
- DOS(E_F) (states/eV per cell) = 4.23

abc: 5.2689 5.2689 6.4313
angles: 114.18 114.18 90.00
With the nearest neighbours (Å) after each atom.
Fractional positions:
P  0.3861  0.8750  0.2500  2 Tc 2.24, 2 Pd 2.31
P  0.8639  0.3750  0.2500  2 Tc 2.24, 2 Pd 2.31
P  0.1250  0.1361  0.7500  2 Tc 2.24, 2 Pd 2.31
P  0.6250  0.6139  0.7500  2 Tc 2.24, 2 Pd 2.31
Tc  0.7500  0.2500  0.5000  4 P 2.24
Tc  0.5000  0.5000  0.0000  4 P 2.24
Pd  0.2500  0.7500  0.5000  4 P 2.31
Pd  0.0000  0.0000  0.0000  4 P 2.31